ScCrPt2 | PBE | optimized geometry

abc: 4.5360 4.5360 4.5360
angles: 60.00 60.00 60.00
Fractional coordinates of all 4 atoms:
Sc1 0.0000 0.0000 0.0000
Cr1 0.7500 0.7500 0.7500
Pt1 0.2500 0.2500 0.2500
Pt2 0.5000 0.5000 0.5000

Summary:
D(E_F): 1.292 states/eV per atom
Density: 12.26 g/cm3
Formation energy: -0.437 eV per atom

Sc2TlCrPt | PBE | optimized geometry

abc: 5.0348 5.0348 4.9960
angles: 90.00 90.00 90.00
Fractional coordinates of all 5 atoms:
Sc1 0.0000 0.5000 0.0000
Sc2 0.5000 0.0000 0.0000
Tl1 0.0000 0.0000 0.5000
Cr1 0.5000 0.5000 0.5000
Pt1 0.5000 0.5000 0.0000

Summary:
D(E_F): 1.048 states/eV per atom
Density: 7.10 g/cm3
Formation energy: 0.013 eV per atom